[1]
A plane-wave DFT calculation with GGA+U was carried out for a geometry-optimized NaLiWO4 structure.

The structure in POSCAR format:
```
NaLiWO4
1.0
3.210 -4.749 0.000
3.210 4.749 0.000
0.000 0.000 6.599
Na Li W O
2 2 2 8
Direct
0.000 0.000 0.000
0.000 0.000 0.500
0.339 0.661 0.750
0.661 0.339 0.250
0.363 0.637 0.250
0.637 0.363 0.750
0.256 0.744 0.022
0.256 0.744 0.478
0.265 0.296 0.250
0.296 0.265 0.750
0.704 0.735 0.250
0.735 0.704 0.750
0.744 0.256 0.522
0.744 0.256 0.978
```

Raw total energy (eV/atom): -6.355

---

[2]
A plane-wave DFT calculation with GGA+U was carried out for a geometry-optimized ScMn2F structure.

The structure in POSCAR format:
```
ScMn2F
1.0
7.532 0.000 0.000
0.000 7.532 0.000
0.000 0.000 5.153
Sc Mn F
4 8 4
Direct
0.000 0.000 0.000
0.000 0.500 0.250
0.500 0.000 0.750
0.500 0.500 0.500
0.174 0.250 0.625
0.250 0.674 0.875
0.250 0.826 0.375
0.326 0.250 0.125
0.674 0.750 0.125
0.750 0.174 0.375
0.750 0.326 0.875
0.826 0.750 0.625
0.000 0.000 0.500
0.000 0.500 0.750
0.500 0.000 0.250
0.500 0.500 0.000
```

Offset from the most stable computed form (kcal/mol of atoms): 0.00